Below is a relaxed Ga2PdAu8 crystal, with properties calculated at the GGA-PBE level.

Cell lengths 4.128, 6.581, 7.780 Å; angles 71.97, 75.13, 89.69 degrees
Space group P-1 (No. 2)
Inequivalent atoms, fractional coordinates:
Ga 0.214 0.160 0.074 (multiplicity 2)
Pd 0.500 0.500 0.500 (multiplicity 1)
Au 0.042 0.241 0.418 (multiplicity 2)
Au 0.149 0.720 0.199 (multiplicity 2)
Au 0.323 0.573 0.854 (multiplicity 2)
Au 0.406 0.038 0.689 (multiplicity 2)

Output
- Energy of formation: -0.090 eV per atom
- Energy above the most stable polymorph in this dataset: 0.000 eV per atom
- Calculated volume: 17.600 A^3/atom